[1]
The following is a DFT calculation (PBEsol) of a relaxed AuSeBr crystal.

Geometry as POSCAR:
```
AuSeBr
1.0
-3.225 -5.677 2.078
2.785 0.957 6.936
-9.420 6.412 2.898
Au Se Br
8 8 8
Direct
0.673 0.252 0.750
0.173 0.248 0.750
0.827 0.752 0.250
0.327 0.748 0.250
0.416 0.638 0.750
0.916 0.862 0.750
0.084 0.138 0.250
0.584 0.362 0.250
0.423 0.381 0.880
0.923 0.119 0.620
0.577 0.619 0.380
0.423 0.381 0.620
0.923 0.119 0.880
0.077 0.881 0.380
0.577 0.619 0.120
0.077 0.881 0.120
0.086 0.369 0.401
0.914 0.631 0.901
0.414 0.869 0.599
0.414 0.869 0.901
0.586 0.131 0.401
0.086 0.369 0.099
0.586 0.131 0.099
0.914 0.631 0.599
```

Properties
* formation energy from raw total energies: -0.135 eV/atom
* space group: Pnma

=====

[2]
The following is a DFT calculation (PBEsol) of a relaxed MgFeGe2Se crystal.

Geometry as POSCAR:
```
MgFeGe2Se
1.0
4.312 0.000 0.000
0.000 4.312 0.000
0.000 0.000 5.507
Mg Ge Fe Se
1 2 1 1
Direct
0.500 0.500 0.500
0.000 0.500 0.000
0.500 0.000 0.000
0.000 0.000 0.000
0.000 0.000 0.500
```

Properties
* formation energy from raw total energies: 0.106 eV/atom
* space group: P4/mmm
* density of states at the Fermi level: 0.59 states/eV/atom

=====

[3]
The following is a DFT calculation (PBEsol) of a relaxed KBiF2 crystal.

Geometry as POSCAR:
```
KBiF2
1.0
6.048 0.027 0.042
-2.441 5.534 -0.042
-2.441 -2.366 5.002
K Bi F
2 2 4
Direct
0.000 0.500 0.500
0.500 0.250 0.750
0.000 0.000 0.000
0.500 0.750 0.250
0.997 0.875 0.372
0.003 0.375 0.878
0.503 0.628 0.625
0.497 0.122 0.125
```

Properties
* formation energy from raw total energies: -1.651 eV/atom
* space group: I-42d
* density of states at the Fermi level: 0.54 states/eV/atom

=====

[4]
The following is a DFT calculation (PBEsol) of a relaxed BaReH9 crystal.

Geometry as POSCAR:
```
BaReH9
1.0
-1.413 3.065 -3.885
-3.498 -1.685 3.330
1.469 7.345 5.259
Re Ba H
2 2 18
Direct
0.334 0.667 0.750
0.666 0.333 0.250
0.000 0.000 0.500
0.000 0.000 0.000
0.248 0.947 0.750
0.752 0.053 0.250
0.699 0.950 0.750
0.301 0.050 0.250
0.150 0.291 0.750
0.850 0.709 0.250
0.503 0.526 0.641
0.497 0.474 0.141
0.497 0.474 0.359
0.503 0.526 0.859
0.025 0.525 0.641
0.975 0.475 0.141
0.975 0.475 0.359
0.025 0.525 0.859
0.423 0.846 0.588
0.577 0.154 0.088
0.577 0.154 0.412
0.423 0.846 0.912
```

Properties
* space group: P2_1/m
* density of states at the Fermi level: 0.00 states/eV/atom

=====

[5]
The following is a DFT calculation (PBEsol) of a relaxed NdMg2 crystal.

Geometry as POSCAR:
```
NdMg2
1.0
6.066 0.000 0.000
3.033 5.253 0.000
3.033 1.751 4.953
Mg Nd
4 2
Direct
0.125 0.625 0.625
0.625 0.625 0.625
0.625 0.625 0.125
0.625 0.125 0.625
0.000 0.000 0.000
0.250 0.250 0.250
```

Properties
* space group: Fd-3m
* density of states at the Fermi level: 0.92 states/eV/atom
* formation energy: -0.092 eV/atom

=====

[6]
The following is a DFT calculation (PBEsol) of a relaxed ZrZnRe2 crystal.

Geometry as POSCAR:
```
ZrZnRe2
1.0
2.690 0.000 0.007
0.000 4.553 0.000
-0.708 0.000 5.122
Re Zn Zr
2 1 1
Direct
0.740 0.000 0.759
0.260 0.000 0.241
0.500 0.500 0.000
0.000 0.500 0.500
```

Properties
* space group: P2/m
* density of states at the Fermi level: 0.75 states/eV/atom
* formation energy: 0.108 eV/atom

=====

Number 1: raw total energy -80.40 eV per cell, calculated density 7.79 g/cm³. Number 2: raw total energy -23.88 eV per cell, calculated density 4.94 g/cm³. Number 3: raw total energy -31.76 eV per cell, calculated density 5.66 g/cm³. Number 4: raw total energy -97.07 eV per cell, calculated density 5.29 g/cm³. Number 5: raw total energy -17.76 eV per cell, calculated density 4.06 g/cm³. Number 6: raw total energy -36.90 eV per cell, calculated density 14.00 g/cm³.